No. 1
First-principles (PBE) data for a geometry-optimized V12CrSi6 structure, as listed in Alexandria.

Output
DOS at the Fermi energy, states/eV/cell: 15.353

Unit cell a=6.302 b=6.302 c=6.302 alpha=89.78 beta=89.78 gamma=89.78
Fractional coordinates of all 19 atoms:
1 V 0.378 0.054 0.136
2 V 0.054 0.136 0.378
3 V 0.486 0.573 0.189
4 V 0.573 0.189 0.486
5 V 0.189 0.486 0.573
6 V 0.811 0.514 0.427
7 V 0.864 0.622 0.946
8 V 0.514 0.427 0.811
9 V 0.946 0.864 0.622
10 V 0.136 0.378 0.054
11 V 0.622 0.946 0.864
12 V 0.427 0.811 0.514
13 Si 0.879 0.262 0.733
14 Si 0.733 0.879 0.262
15 Si 0.738 0.267 0.121
16 Si 0.262 0.733 0.879
17 Si 0.121 0.738 0.267
18 Si 0.267 0.121 0.738
19 Cr 0.000 0.000 0.000

No. 2
First-principles (PBE) data for a geometry-optimized Al2AuBr structure, as listed in Alexandria.

Output
DOS at the Fermi energy, states/eV/cell: 0.885

Unit cell a=5.082 b=5.082 c=3.098 alpha=90.00 beta=90.00 gamma=90.07
Fractional coordinates of all 4 atoms:
1 Au 0.500 0.000 0.500
2 Al 0.000 0.000 0.000
3 Al 0.500 0.500 0.000
4 Br 0.000 0.500 0.500

Computed calculated volume (Å³/cell) in order:
250.26; 80.01
Computed E (eV for the cell shown) in order:
-157.62; -12.29